1.
The following is a DFT calculation (PBE) of a relaxed Al3Ga2 crystal.

Computed properties:
Symmetry: No. 167
Formation energy in eV/atom: 0.111
Energy relative to the lowest polymorph listed for this composition in eV/f.u.: 0.46
D(E_F) in states/eV/f.u.: 1.421

Unit cell a=7.3050 b=7.3050 c=5.8298 alpha=51.21 beta=51.21 gamma=60.00
Closest atoms and distances in Å follow each position.
Positions (direct):
Al 0.0390 0.7500 0.7500  4 Ga 2.63-2.71
Al 0.7500 0.4610 0.7500  4 Ga 2.63-2.71
Al 0.4610 0.0390 0.7500  4 Ga 2.63-2.71
Al 0.2500 0.5390 0.2500  4 Ga 2.63-2.71
Al 0.5390 0.9610 0.2500  4 Ga 2.63-2.71
Al 0.9610 0.2500 0.2500  4 Ga 2.63-2.71
Ga 0.8901 0.8901 0.3296  6 Al 2.63-2.71, 1 Ga 2.65
Ga 0.3901 0.3901 0.8296  6 Al 2.63-2.71, 1 Ga 2.65
Ga 0.1099 0.1099 0.6704  6 Al 2.63-2.71, 1 Ga 2.65
Ga 0.6099 0.6099 0.1704  6 Al 2.63-2.71, 1 Ga 2.65



2.
The following is a DFT calculation (PBE) of a relaxed YCo4Te crystal.

Computed properties:
Symmetry: No. 216
Energy relative to the elements, uncorrected in eV/atom: -0.02
D(E_F) in states/eV/f.u.: 8.498

Unit cell a=5.0477 b=5.0477 c=5.0477 alpha=60.00 beta=60.00 gamma=60.00
Closest atoms and distances in Å follow each position.
Positions (direct):
Y 0.0000 0.0000 0.0000  12 Co 2.96, 4 Te 3.09
Co 0.8762 0.3746 0.3746  6 Co 2.52-2.53
Co 0.3746 0.3746 0.8762  6 Co 2.52-2.53
Co 0.3746 0.8762 0.3746  6 Co 2.52-2.53
Co 0.3746 0.3746 0.3746  6 Co 2.52-2.53
Te 0.7500 0.7500 0.7500  12 Co 2.96, 4 Y 3.09



3.
The following is a DFT calculation (PBE) of a relaxed Rb2VHg crystal.

Computed properties:
Symmetry: No. 8
Formation energy in eV/atom: 0.508
D(E_F) in states/eV/f.u.: 3.158

Unit cell a=9.8737 b=4.8487 c=8.3958 alpha=90.00 beta=106.07 gamma=90.00
Closest atoms and distances in Å follow each position.
Positions (direct):
Hg 0.5345 0.0000 0.6948  3 V 2.80
Hg 0.5345 0.5000 0.1948  3 V 2.80
Rb 0.8062 0.0000 0.4500  3 Hg 3.81, 3 V 3.81
Rb 0.8062 0.5000 0.9500  3 Hg 3.81, 3 V 3.81
Rb 0.2626 0.0000 0.2735  3 Hg 3.80-3.81, 3 V 3.80-3.81
Rb 0.2626 0.5000 0.7735  3 Hg 3.80-3.81, 3 V 3.80-3.81
V 0.5342 0.0000 0.0281  3 Hg 2.80
V 0.5342 0.5000 0.5281  3 Hg 2.80